--- P ---
LaTbSc | PBE | optimized geometry

abc: 6.0833 3.5534 9.2458
angles: 78.88 71.53 90.04
Last column: nearest neighbours and their distance in Å.
Atoms (fractional coordinates):
Sc (0.9316, 0.0040, 0.0883)  3 Tb 3.39, 3 La 3.45-3.46, 6 Sc 3.47-3.57
Sc (0.4243, 0.5050, 0.0850)  3 Tb 3.39, 3 La 3.45-3.46, 6 Sc 3.47-3.57
La (0.9206, 0.6671, 0.7637)  3 Sc 3.45-3.46, 6 Tb 3.50-3.68, 3 La 3.55-3.69
La (0.4356, 0.8418, 0.4096)  3 Sc 3.45-3.46, 6 Tb 3.50-3.68, 3 La 3.55-3.69
Tb (0.4143, 0.1635, 0.7688)  3 Sc 3.39, 6 La 3.50-3.68, 3 Tb 3.55-3.79
Tb (0.9419, 0.3454, 0.4045)  3 Sc 3.39, 6 La 3.50-3.68, 3 Tb 3.55-3.79



--- Q ---
LaTbSc | PBE | optimized geometry

abc: 3.4887 3.4887 17.7187
angles: 90.00 90.00 120.00
Last column: nearest neighbours and their distance in Å.
Atoms (fractional coordinates):
La (0.3333, 0.6667, 0.0936)  3 Sc 3.47, 9 La 3.49-3.88
La (0.6667, 0.3333, 0.9064)  3 Sc 3.47, 9 La 3.49-3.88
Sc (0.6667, 0.3333, 0.2532)  3 Tb 3.33, 3 La 3.47, 6 Sc 3.49
Sc (0.3333, 0.6667, 0.7468)  3 Tb 3.33, 3 La 3.47, 6 Sc 3.49
Tb (0.0000, 0.0000, 0.5971)  3 Sc 3.33, 7 Tb 3.44-3.49
Tb (0.0000, 0.0000, 0.4029)  3 Sc 3.33, 7 Tb 3.44-3.49



Bottom line: P, by a margin of 4.2 kJ/mol of atoms.



--- P ---
LaTbSc | PBE | optimized geometry

abc: 3.4111 5.5597 5.5597
angles: 120.00 90.00 90.00
Last column: nearest neighbours and their distance in Å.
Atoms (fractional coordinates):
La (0.1661, 0.0000, 0.0000)  3 Sc 3.21, 2 La 3.41
Sc (0.1674, 0.3333, 0.6667)  3 La 3.21, 2 Sc 3.41
Tb (0.6665, 0.6667, 0.3333)  2 Tb 3.41, 6 Sc 3.63-3.64, 6 La 3.63-3.64



--- Q ---
LaTbSc | PBE | optimized geometry

abc: 4.9495 3.4764 10.8772
angles: 99.18 90.00 90.00
Last column: nearest neighbours and their distance in Å.
Atoms (fractional coordinates):
Tb (0.3468, 0.3593, 0.1397)  5 Sc 3.27-3.43, 2 Tb 3.48, 4 La 3.56
Tb (0.8467, 0.6311, 0.6839)  5 Sc 3.27-3.44, 2 Tb 3.48, 4 La 3.56
Sc (0.8462, 0.7828, 0.9889)  5 Tb 3.27-3.43, 6 Sc 3.44-3.48, 1 La 3.49
Sc (0.3480, 0.2060, 0.8347)  5 Tb 3.27-3.44, 6 Sc 3.44-3.48, 1 La 3.49
La (0.3467, 0.0437, 0.5093)  4 La 3.24-3.48, 1 Sc 3.49, 4 Tb 3.56
La (0.8468, 0.9467, 0.3143)  4 La 3.24-3.48, 1 Sc 3.49, 4 Tb 3.56



Bottom line: P, by a margin of 0.8 kJ/mol of atoms.



--- P ---
LaTb2Sc | PBE | optimized geometry

abc: 4.9668 7.1281 7.0010
angles: 90.00 90.00 90.00
Last column: nearest neighbours and their distance in Å.
Atoms (fractional coordinates):
Sc (0.0001, 0.2500, 0.5004)  8 Tb 3.48-3.49, 2 La 3.50, 2 Sc 3.56
Sc (0.9999, 0.7500, 0.4996)  8 Tb 3.48-3.49, 2 La 3.50, 2 Sc 3.56
Tb (0.5000, 0.0000, 0.7389)  4 Tb 3.35-3.66, 4 Sc 3.48-3.49, 4 La 3.56
Tb (0.5000, 0.5000, 0.7389)  4 Tb 3.35-3.66, 4 Sc 3.48-3.49, 4 La 3.56
Tb (0.5000, 0.0000, 0.2611)  4 Tb 3.35-3.66, 4 Sc 3.48-3.49, 4 La 3.56
Tb (0.5000, 0.5000, 0.2611)  4 Tb 3.35-3.66, 4 Sc 3.48-3.49, 4 La 3.56
La (0.0000, 0.7500, 0.9994)  2 Sc 3.50, 8 Tb 3.56, 2 La 3.56
La (0.0000, 0.2500, 0.0006)  2 Sc 3.50, 8 Tb 3.56, 2 La 3.56



--- Q ---
LaTb2Sc | PBE | optimized geometry

abc: 3.5523 3.5523 11.5818
angles: 81.18 81.18 60.00
Last column: nearest neighbours and their distance in Å.
Atoms (fractional coordinates):
Tb (0.2449, 0.2449, 0.2652)  3 Sc 3.36, 6 Tb 3.55, 3 La 3.64
Tb (0.0884, 0.0884, 0.7348)  3 Sc 3.38, 6 Tb 3.55, 3 La 3.66
La (0.6663, 0.6663, 0.0012)  6 La 3.55, 6 Tb 3.64-3.66
Sc (0.5004, 0.5004, 0.4988)  6 Tb 3.36-3.38, 6 Sc 3.55



--- R ---
LaTb2Sc | PBE | optimized geometry

abc: 3.5525 3.5525 9.9353
angles: 90.00 90.00 90.00
Last column: nearest neighbours and their distance in Å.
Atoms (fractional coordinates):
Sc (0.5000, 0.5000, 0.0000)  8 Tb 3.40, 4 Sc 3.55
Tb (0.0000, 0.0000, 0.7693)  4 Sc 3.40, 4 Tb 3.55, 4 La 3.67
Tb (0.0000, 0.0000, 0.2307)  4 Sc 3.40, 4 Tb 3.55, 4 La 3.67
La (0.5000, 0.5000, 0.5000)  4 La 3.55, 8 Tb 3.67



Bottom line: Q, by a margin of 1.4 kJ/mol of atoms.